Record 1
Nd4Y5Tl: optimized geometry, PBE-GGA.

## Properties
Total energy in eV for the cell shown: -52.86
Energy relative to the elements in eV/atom: 0.0898
Total moment in μB/f.u.: 0.0

abc: 8.1949 8.1949 8.1949
angles: 97.39 97.39 137.97
Last column: nearest neighbours and their distance in Å.
Positions (direct):
Nd 0.0000 0.3154 0.3154  5 Y 3.42-3.81, 1 Tl 3.81
Nd 0.0000 0.6846 0.6846  5 Y 3.42-3.81, 1 Tl 3.81
Nd 0.3154 0.0000 0.3154  5 Y 3.42-3.81, 1 Tl 3.81
Nd 0.6846 0.0000 0.6846  5 Y 3.42-3.81, 1 Tl 3.81
Y 0.3193 0.3193 0.6315  1 Tl 3.09, 1 Y 3.34, 2 Nd 3.42
Y 0.3193 0.6878 0.0000  1 Tl 3.09, 1 Y 3.34, 2 Nd 3.42
Y 0.6878 0.3193 0.0000  1 Tl 3.09, 1 Y 3.34, 2 Nd 3.42
Y 0.6878 0.6878 0.3685  1 Tl 3.09, 1 Y 3.34, 2 Nd 3.42
Y 0.8075 0.8075 0.0000  2 Tl 2.83-3.05
Tl 0.2886 0.2886 0.0000  6 Y 2.83-3.09

=====

Record 2
Pm7In2Hg2: optimized geometry, PBE-GGA.

## Properties
Total energy in eV for the cell shown: -40.56
Energy relative to the elements in eV/atom: -0.1113
Total moment in μB/f.u.: 0.0

abc: 6.9460 6.9460 7.9762
angles: 90.00 90.00 109.50
Last column: nearest neighbours and their distance in Å.
Positions (direct):
Pm 0.0000 0.0000 0.0000  2 Hg 3.25
Pm 0.0000 0.5000 0.2869  2 Hg 3.07, 2 In 3.36, 1 Pm 3.40
Pm 0.0000 0.5000 0.7131  2 Hg 3.07, 2 In 3.36, 1 Pm 3.40
Pm 0.5000 0.0000 0.2869  2 Hg 3.07, 2 In 3.36, 1 Pm 3.40
Pm 0.5000 0.0000 0.7131  2 Hg 3.07, 2 In 3.36, 1 Pm 3.40
Pm 0.5000 0.5000 0.2571  2 Hg 3.18, 2 In 3.24, 4 Pm 3.48
Pm 0.5000 0.5000 0.7429  2 Hg 3.18, 2 In 3.24, 4 Pm 3.48
In 0.1758 0.1758 0.5000  1 In 2.82
In 0.8242 0.8242 0.5000  1 In 2.82
Hg 0.2863 0.7137 0.0000  7 Pm 3.07-3.25
Hg 0.7137 0.2863 0.0000  7 Pm 3.07-3.25

=====

Record 3
Hf2CrCo: optimized geometry, PBE-GGA.

## Properties
Total energy in eV for the cell shown: -70.25
Polymorph energy (0 for the lowest one) in meV per atom: 546
Energy relative to the elements in eV/atom: 0.3772
Total moment in μB/f.u.: 2.6

abc: 5.7567 5.7567 5.7567
angles: 104.51 104.51 119.93
Last column: nearest neighbours and their distance in Å.
Positions (direct):
Hf 0.0907 0.6250 0.9657  2 Co 2.44
Hf 0.3750 0.3407 0.4657  2 Co 2.44
Hf 0.6593 0.1250 0.0343  2 Co 2.44
Hf 0.8750 0.9093 0.5343  2 Co 2.44
Cr 0.2500 0.7500 0.5000  4 Hf 2.76, 2 Co 2.88
Cr 0.5000 0.5000 0.0000  4 Hf 2.76, 2 Co 2.88
Co 0.0000 0.0000 0.0000  4 Hf 2.44
Co 0.7500 0.2500 0.5000  4 Hf 2.44

=====

Record 4
TlTc2As: optimized geometry, PBE-GGA.

## Properties
Total energy in eV for the cell shown: -24.88
Polymorph energy (0 for the lowest one) in meV per atom: 541
Energy relative to the elements in eV/atom: 0.7181
Total moment in μB/f.u.: 0.0

abc: 5.2480 5.2480 3.0339
angles: 105.40 105.40 109.38
Last column: nearest neighbours and their distance in Å.
Positions (direct):
Tl 0.0000 0.0000 0.0000  4 Tc 2.66
Tc 0.0000 0.5000 0.5000  2 Tl 2.66, 2 As 2.66
Tc 0.5000 0.0000 0.5000  2 Tl 2.66, 2 As 2.66
As 0.5000 0.5000 0.0000  4 Tc 2.66

=====

Record 5
PaGe2Ir: optimized geometry, PBE-GGA.

## Properties
Total energy in eV for the cell shown: -120.85
Energy relative to the elements in eV/atom: -0.6551
Total moment in μB/f.u.: 0.0

abc: 9.5145 9.5145 9.5145
angles: 153.79 125.63 61.33
Last column: nearest neighbours and their distance in Å.
Positions (direct):
Pa 0.2037 0.2037 0.0000  8 Ge 2.99-3.04, 6 Ir 3.19-3.28
Pa 0.2449 0.0000 0.2449  4 Ir 3.23, 10 Ge 3.26-3.36
Pa 0.7551 0.0000 0.7551  4 Ir 3.23, 10 Ge 3.26-3.36
Pa 0.7963 0.7963 0.0000  8 Ge 2.99-3.04, 6 Ir 3.19-3.28
Ge 0.0733 0.5733 0.5000  1 Ge 2.40, 2 Ir 2.47
Ge 0.1510 0.8020 0.3490  3 Ir 2.47-2.67, 1 Ge 2.63
Ge 0.4259 0.4259 0.0000  1 Ge 2.43, 2 Ir 2.50
Ge 0.4530 0.8020 0.6510  3 Ir 2.47-2.67, 1 Ge 2.63
Ge 0.5470 0.1980 0.3490  3 Ir 2.47-2.67, 1 Ge 2.63
Ge 0.5741 0.5741 0.0000  1 Ge 2.43, 2 Ir 2.50
Ge 0.8490 0.1980 0.6510  3 Ir 2.47-2.67, 1 Ge 2.63
Ge 0.9267 0.4267 0.5000  1 Ge 2.40, 2 Ir 2.47
Ir 0.1006 0.3528 0.7477  5 Ge 2.47-2.67
Ir 0.3949 0.6472 0.7477  5 Ge 2.47-2.67
Ir 0.6051 0.3528 0.2523  5 Ge 2.47-2.67
Ir 0.8994 0.6472 0.2523  5 Ge 2.47-2.67

=====

Record 6
MgCuTe2: optimized geometry, PBE-GGA.

## Properties
Total energy in eV for the cell shown: -13.13
Raw formation energy in meV per atom: -290
Polymorph energy (0 for the lowest one) in meV per atom: 57
Total moment in μB/f.u.: 0.0

abc: 4.0554 4.0554 7.0809
angles: 106.73 106.73 59.87
Last column: nearest neighbours and their distance in Å.
Positions (direct):
Mg 0.0000 0.0000 0.0000  6 Te 2.96
Cu 0.5000 0.5000 0.5000  6 Te 2.79-2.80
Te 0.2425 0.2425 0.7284  3 Cu 2.79-2.80, 3 Mg 2.96
Te 0.7575 0.7575 0.2716  3 Cu 2.79-2.80, 3 Mg 2.96

=====

Repeat the fourth record exactly.
TlTc2As: optimized geometry, PBE-GGA.

## Properties
Total energy in eV for the cell shown: -24.88
Polymorph energy (0 for the lowest one) in meV per atom: 541
Energy relative to the elements in eV/atom: 0.7181
Total moment in μB/f.u.: 0.0

abc: 5.2480 5.2480 3.0339
angles: 105.40 105.40 109.38
Last column: nearest neighbours and their distance in Å.
Positions (direct):
Tl 0.0000 0.0000 0.0000  4 Tc 2.66
Tc 0.0000 0.5000 0.5000  2 Tl 2.66, 2 As 2.66
Tc 0.5000 0.0000 0.5000  2 Tl 2.66, 2 As 2.66
As 0.5000 0.5000 0.0000  4 Tc 2.66

=====

Q: What is the formula in the fifth record?
A: PaGe2Ir